ZrCdCl, relaxed, DFT PBE-GGA; SG = F-43m, No. 216; total magnetic moment = 0.00 μB per formula unit; density = 5.3 Mg/m³; energy relative to the elements, uncorrected = 229 meV/atom; polymorph energy (0 for the lowest one) = 948.5 meV per atom
1.0
0.000 3.339 3.339
3.339 0.000 3.339
3.339 3.339 0.000
Zr Cd Cl
1 1 1
direct
0.000 0.000 0.000
0.750 0.750 0.750
0.250 0.250 0.250

La8GaAs3Br4, relaxed, DFT PBE-GGA; SG = R-3m, No. 166; total magnetic moment = 0.00 μB per formula unit; density = 5.9 Mg/m³; energy relative to the elements, uncorrected = -1401 meV/atom
1.0
4.384 2.531 7.284
-4.384 2.531 7.284
0.000 -5.062 7.284
La Ga As Br
8 1 3 4
direct
0.239 0.239 0.239
0.240 0.740 0.740
0.260 0.260 0.760
0.260 0.760 0.260
0.740 0.240 0.740
0.740 0.740 0.240
0.760 0.260 0.260
0.761 0.761 0.761
0.500 0.500 0.500
0.000 0.000 0.500
0.000 0.500 0.000
0.500 0.000 0.000
0.000 0.000 0.000
0.000 0.500 0.500
0.500 0.000 0.500
0.500 0.500 0.000

LiRe2Mo, relaxed, DFT PBE-GGA; SG = Cmmm, No. 65; total magnetic moment = 0.00 μB per formula unit; density = 13.3 Mg/m³; ΔH_f (0 K) = 0.409 eV/atom; polymorph energy (0 for the lowest one) = 228.2 meV per atom
1.0
2.653 -4.218 0.000
2.653 4.218 0.000
0.000 0.000 2.649
Li Re Mo
1 2 1
direct
0.000 0.000 0.000
0.000 0.500 0.500
0.500 0.000 0.500
0.500 0.500 0.000

Pd2I3, relaxed, DFT PBE-GGA; SG = C2/m, No. 12; total magnetic moment = 0.00 μB per formula unit; density = 6.2 Mg/m³; energy relative to the elements, uncorrected = -89 meV/atom; polymorph energy (0 for the lowest one) = 5.1 meV per atom
1.0
7.655 -2.021 0.000
7.655 2.021 0.000
-4.821 0.000 10.329
Pd I
4 6
direct
0.106 0.106 0.458
0.340 0.340 0.155
0.660 0.660 0.845
0.894 0.894 0.542
0.145 0.145 0.012
0.313 0.313 0.373
0.466 0.466 0.713
0.534 0.534 0.287
0.687 0.687 0.627
0.855 0.855 0.988

Er2SbO, relaxed, DFT PBE-GGA; SG = Cm, No. 8; total magnetic moment = 0.00 μB per formula unit; density = 8.6 Mg/m³; energy relative to the elements, uncorrected = -1789 meV/atom; polymorph energy (0 for the lowest one) = 0.0 meV per atom
1.0
3.293 -1.828 0.000
3.293 1.828 0.000
-0.088 0.000 7.587
Er Sb O
2 1 1
direct
0.000 0.000 0.000
0.666 0.666 0.615
0.333 0.333 0.310
0.997 0.997 0.713

ErPuHg2, relaxed, DFT PBE-GGA; SG = P4/mmm, No. 123; total magnetic moment = 5.83 μB per formula unit; density = 13.1 Mg/m³; ΔH_f (0 K) = -0.284 eV/atom; polymorph energy (0 for the lowest one) = 0.0 meV per atom
1.0
3.647 0.000 0.000
0.000 3.647 0.000
0.000 0.000 7.763
Er Pu Hg
1 1 2
direct
0.000 0.000 0.000
0.000 0.000 0.500
0.500 0.500 0.233
0.500 0.500 0.767

HfBe2Au2, relaxed, DFT PBE-GGA; SG = I4/mmm, No. 139; total magnetic moment = 0.00 μB per formula unit; density = 12.5 Mg/m³; ΔH_f (0 K) = -0.196 eV/atom; polymorph energy (0 for the lowest one) = 0.0 meV per atom
1.0
-1.800 1.800 6.033
1.800 -1.800 6.033
1.800 1.800 -6.033
Hf Be Au
1 2 2
direct
0.000 0.000 0.000
0.250 0.750 0.500
0.750 0.250 0.500
0.383 0.383 0.000
0.617 0.617 0.000

KZnTc4, relaxed, DFT PBE-GGA; SG = F-43m, No. 216; total magnetic moment = 0.00 μB per formula unit; density = 7.8 Mg/m³; ΔH_f (0 K) = 0.932 eV/atom
1.0
0.000 3.751 3.751
3.751 0.000 3.751
3.751 3.751 0.000
K Zn Tc
1 1 4
direct
0.000 0.000 0.000
0.250 0.250 0.250
0.126 0.625 0.625
0.625 0.126 0.625
0.625 0.625 0.126
0.625 0.625 0.625